A plane-wave DFT calculation with PBEsol was carried out for crystalline MnCdIr2 at its relaxed geometry.

a b c (Å): 5.305 5.305 2.741
angles (deg): 104.12 104.12 117.79
Sites, in units of the cell vectors:
Mn: 0.000 0.000 0.000
Cd: 0.500 0.500 0.000
Ir: 0.000 0.500 0.500
Ir: 0.500 0.000 0.500

For the density of states at the Fermi level, the calculation gives 3.6 states/eV per cell. The calculation puts the volume at 15.0 A^3/atom. Its symmetry is C2/m (12). The crystal system is monoclinic. The density comes out at 15.2 g cm⁻³. The formation energy comes out at 285 meV/atom.

A plane-wave DFT calculation with PBEsol was carried out for crystalline CaLaAu2 at its relaxed geometry.

a b c (Å): 5.193 5.193 3.576
angles (deg): 90.00 90.00 90.00
Sites, in units of the cell vectors:
Ca: 0.000 0.000 0.000
La: 0.500 0.500 0.000
Au: 0.000 0.500 0.500
Au: 0.500 0.000 0.500

For the density of states at the Fermi level, the calculation gives 3.0 states/eV per cell. The calculation puts the volume at 24.1 A^3/atom. Its symmetry is P4/mmm (123). The crystal system is tetragonal. The density comes out at 9.9 g cm⁻³. The formation energy comes out at -757 meV/atom.

A plane-wave DFT calculation with PBEsol was carried out for crystalline KSn at its relaxed geometry.

a b c (Å): 12.152 12.152 12.152
angles (deg): 125.10 125.10 81.37
Sites, in units of the cell vectors:
K: 0.003 0.253 0.506
K: 0.114 0.750 0.864
K: 0.247 0.497 0.994
K: 0.250 0.114 0.864
K: 0.250 0.614 0.364
K: 0.253 0.247 0.250
K: 0.386 0.250 0.636
K: 0.497 0.003 0.250
K: 0.503 0.997 0.750
K: 0.614 0.750 0.364
K: 0.747 0.753 0.750
K: 0.750 0.386 0.636
K: 0.750 0.886 0.136
K: 0.753 0.503 0.006
K: 0.886 0.250 0.136
K: 0.997 0.747 0.494
Sn: 0.003 0.703 0.070
Sn: 0.067 0.997 0.200
Sn: 0.132 0.933 0.430
Sn: 0.203 0.503 0.570
Sn: 0.297 0.868 0.300
Sn: 0.368 0.797 0.800
Sn: 0.433 0.632 0.930
Sn: 0.497 0.567 0.700
Sn: 0.503 0.433 0.300
Sn: 0.567 0.368 0.070
Sn: 0.632 0.203 0.200
Sn: 0.703 0.132 0.700
Sn: 0.797 0.497 0.430
Sn: 0.868 0.067 0.570
Sn: 0.933 0.003 0.800
Sn: 0.997 0.297 0.930

The calculation puts the volume at 36.1 A^3/atom. Its symmetry is I4_1/acd (142). The crystal system is tetragonal. The density comes out at 3.6 g cm⁻³. The formation energy comes out at -298 meV/atom.